Computed, not measured: a relaxed SrScRh2 crystal at the PBE level of DFT.

abc: 4.785 4.785 4.785
angles: 60.00 60.00 60.00
Fractional coordinates of all 4 atoms:
Sr  0.750  0.750  0.750
Rh  0.000  0.000  0.000
Rh  0.250  0.250  0.250
Sc  0.500  0.500  0.500

Values from the calculation:
- total DFT energy (no corrections) (eV for the cell shown) = -22.7
- energy above the most stable polymorph in this dataset (meV/atom) = 557

Computed, not measured: a relaxed BeCdAs2F crystal at the PBE level of DFT.

abc: 5.138 4.552 5.138
angles: 90.00 90.00 90.00
Fractional coordinates of all 5 atoms:
Be  0.000  0.500  0.000
Cd  0.000  0.000  0.000
F  0.500  0.500  0.500
As  0.000  0.000  0.500
As  0.500  0.000  0.000

Values from the calculation:
- formation energy from raw total energies (eV/atom) = 0.839
- total DFT energy (no corrections) (eV for the cell shown) = -11.6

Computed, not measured: a relaxed Tb2PmSm4Sc crystal at the PBE level of DFT.

abc: 3.583 11.813 6.164
angles: 79.81 90.00 90.00
Fractional coordinates of all 8 atoms:
Tb  0.500  0.000  0.500
Pm  0.500  0.500  0.000
Sm  0.000  0.750  0.748
Sm  0.500  0.744  0.253
Sc  0.000  0.500  0.500
Sm  0.000  0.250  0.252
Tb  0.000  0.000  0.000
Sm  0.500  0.256  0.747

Values from the calculation:
- total DFT energy (no corrections) (eV for the cell shown) = -39.0

Computed, not measured: a relaxed KScSbI2 crystal at the PBE level of DFT.

abc: 5.888 5.888 5.655
angles: 90.00 90.00 90.00
Site moments in Bohr magnetons follow the coordinates.
Fractional coordinates of all 5 atoms:
Sb  0.000  0.000  0.500  0.20
I  0.000  0.500  0.000  0.04
K  0.500  0.500  0.500  0.00
Sc  0.000  0.000  0.000  0.01
I  0.500  0.000  0.000  0.04

Values from the calculation:
- formation energy from raw total energies (eV/atom) = -0.768
- total DFT energy (no corrections) (eV for the cell shown) = -18.5

Computed, not measured: a relaxed AlTlAg2Se4 crystal at the PBE level of DFT.

abc: 6.135 6.135 7.319
angles: 114.79 114.79 89.99
Fractional coordinates of all 8 atoms:
Ag  0.486  0.986  0.972
Al  0.736  0.736  0.472
Se  0.613  0.623  0.701
Se  0.849  0.384  0.242
Se  0.088  0.078  0.701
Tl  0.986  0.486  0.972
Ag  0.236  0.236  0.472
Se  0.393  0.858  0.242

Values from the calculation:
- formation energy from raw total energies (eV/atom) = -0.405
- total DFT energy (no corrections) (eV for the cell shown) = -29.0

Computed, not measured: a relaxed AsWSe2I crystal at the PBE level of DFT.

abc: 5.243 5.243 5.408
angles: 90.00 90.00 90.00
Site moments in Bohr magnetons follow the coordinates.
Fractional coordinates of all 5 atoms:
I  0.000  0.000  0.000  0.03
Se  0.000  0.500  0.000  -0.16
As  0.000  0.000  0.500  -0.35
Se  0.500  0.000  0.000  -0.16
W  0.500  0.500  0.500  3.19

Values from the calculation:
- formation energy from raw total energies (eV/atom) = 1.966
- total DFT energy (no corrections) (eV for the cell shown) = -16.3
- energy above the most stable polymorph in this dataset (meV/atom) = 1661

Computed, not measured: a relaxed KCaMo crystal at the PBE level of DFT.

abc: 5.708 5.708 2.871
angles: 90.00 90.00 120.00
Site moments in Bohr magnetons follow the coordinates.
Fractional coordinates of all 3 atoms:
Mo  0.333  0.667  0.666  1.06
K  0.667  0.333  0.169  0.01
Ca  0.000  0.000  0.165  0.00

Values from the calculation:
- total DFT energy (no corrections) (eV for the cell shown) = -10.0
- energy above the most stable polymorph in this dataset (meV/atom) = 234

Computed, not measured: a relaxed Pr4Pb2N crystal at the PBE level of DFT.

abc: 6.835 7.034 9.714
angles: 90.00 110.97 90.00
Site moments in Bohr magnetons follow the coordinates.
Fractional coordinates of all 14 atoms:
Pr  0.929  0.250  0.659  0.07
Pb  0.177  0.250  0.410  -0.01
N  0.296  0.750  0.208  -0.01
Pr  0.071  0.750  0.341  0.07
Pr  0.479  0.502  0.719  0.06
Pr  0.132  0.750  0.951  0.03
Pr  0.479  0.998  0.719  0.06
Pr  0.521  0.498  0.281  0.06
Pr  0.521  0.002  0.281  0.06
Pb  0.823  0.750  0.590  -0.01
N  0.704  0.250  0.792  -0.01
Pb  0.692  0.750  0.032  -0.01
Pb  0.308  0.250  0.968  -0.01
Pr  0.868  0.250  0.049  0.03

Values from the calculation:
- formation energy from raw total energies (eV/atom) = -0.726
- total DFT energy (no corrections) (eV for the cell shown) = -79.9
- energy above the most stable polymorph in this dataset (meV/atom) = 23

Computed, not measured: a relaxed SrYAsSe2 crystal at the PBE level of DFT.

abc: 5.525 5.525 5.372
angles: 90.00 90.00 90.00
Fractional coordinates of all 5 atoms:
Y  0.500  0.500  0.500
As  0.000  0.000  0.500
Se  0.500  0.000  0.000
Se  0.000  0.500  0.000
Sr  0.000  0.000  0.000

Values from the calculation:
- formation energy from raw total energies (eV/atom) = -0.133
- total DFT energy (no corrections) (eV for the cell shown) = -20.4
- energy above the most stable polymorph in this dataset (meV/atom) = 882

Computed, not measured: a relaxed YTeAs2 crystal at the PBE level of DFT.

abc: 5.912 5.912 5.904
angles: 137.36 137.35 62.02
Fractional coordinates of all 4 atoms:
As  0.500  0.500  0.000
As  0.000  0.000  0.000
Te  0.250  0.750  0.500
Y  0.750  0.250  0.500

Values from the calculation:
- formation energy from raw total energies (eV/atom) = -0.472
- total DFT energy (no corrections) (eV for the cell shown) = -20.8

Computed, not measured: a relaxed Tl2CdIn8 crystal at the PBE level of DFT.

abc: 5.557 6.775 9.598
angles: 84.41 91.05 122.22
Fractional coordinates of all 11 atoms:
In  0.995  0.528  0.797
In  0.817  0.195  0.525
In  0.097  0.728  0.411
In  0.445  0.437  0.969
In  0.257  0.068  0.702
In  0.716  0.986  0.888
In  0.921  0.386  0.144
Tl  0.363  0.284  0.330
In  0.654  0.848  0.235
Cd  0.180  0.910  0.058
Tl  0.551  0.635  0.608

Values from the calculation:
- total DFT energy (no corrections) (eV for the cell shown) = -27.2
- energy above the most stable polymorph in this dataset (meV/atom) = 0

Computed, not measured: a relaxed YMn2W crystal at the PBE level of DFT.

abc: 5.302 5.302 5.302
angles: 137.22 137.22 62.10
Site moments in Bohr magnetons follow the coordinates.
Fractional coordinates of all 4 atoms:
Mn  0.000  0.000  0.000  2.42
Mn  0.250  0.750  0.500  2.58
Y  0.750  0.250  0.500  -0.15
W  0.500  0.500  0.000  -0.74

Values from the calculation:
- total DFT energy (no corrections) (eV for the cell shown) = -35.3
- energy above the most stable polymorph in this dataset (meV/atom) = 388